Density functional theory data (PBE) for a geometry-optimized BaRe2Cl structure.

Geometry as CIF:
```
data_BaRe2Cl
_cell_length_a 3.233
_cell_length_b 3.253
_cell_length_c 16.700
_cell_angle_alpha 90.00
_cell_angle_beta 90.00
_cell_angle_gamma 90.00
_symmetry_space_group_name_H-M 'A m m 2'
_symmetry_Int_Tables_number 38
_symmetry_space_group_name_Hall 'A 2 -2'
loop_
_atom_site_label
_atom_site_fract_x
_atom_site_fract_y
_atom_site_fract_z
Ba1 0.000 0.000 0.000
Re1 0.000 0.000 0.227
Re2 0.500 0.000 0.656
Cl1 0.500 0.000 0.366
```

Summary:
Spin magnetization   0.00 μB per cell
Energy   -7.054 eV per atom
Formation energy without anion corrections   0.11 eV per atom